(1)
Material: Ho3H2Pb
Method: DFT, PBE
State: relaxed

```
data_Ho3H2Pb
_space_group_name_H-M_alt 'P 1'
_space_group_IT_number 1
_cell_length_a 11.752
_cell_length_b 11.752
_cell_length_c 6.281
_cell_angle_alpha 103.90
_cell_angle_beta 103.90
_cell_angle_gamma 17.49
loop_
_space_group_symop_operation_xyz
'x,y,z'
loop_
_atom_site_label
_atom_site_fract_x
_atom_site_fract_y
_atom_site_fract_z
_atom_site_occupancy
Ho1 0.032 0.032 0.275 1
Ho2 0.235 0.235 0.214 1
Ho3 0.396 0.396 0.135 1
Ho4 0.604 0.604 0.865 1
Ho5 0.765 0.765 0.786 1
Ho6 0.968 0.968 0.725 1
H1 0.057 0.057 0.952 1
H2 0.292 0.292 0.988 1
H3 0.708 0.708 0.012 1
H4 0.943 0.943 0.048 1
Pb1 0.352 0.352 0.578 1
Pb2 0.648 0.648 0.422 1
```

(2)
Material: HoH8Rh2Pb
Method: DFT, PBE
State: relaxed

```
data_HoH8Rh2Pb
_space_group_name_H-M_alt 'P 1'
_space_group_IT_number 1
_cell_length_a 8.911
_cell_length_b 8.911
_cell_length_c 8.911
_cell_angle_alpha 26.78
_cell_angle_beta 26.78
_cell_angle_gamma 26.78
loop_
_space_group_symop_operation_xyz
'x,y,z'
loop_
_atom_site_label
_atom_site_fract_x
_atom_site_fract_y
_atom_site_fract_z
_atom_site_occupancy
Ho1 0.000 0.000 0.000 1
H1 0.085 0.523 0.523 1
H2 0.188 0.188 0.188 1
H3 0.477 0.477 0.915 1
H4 0.477 0.915 0.477 1
H5 0.523 0.085 0.523 1
H6 0.523 0.523 0.085 1
H7 0.812 0.812 0.812 1
H8 0.915 0.477 0.477 1
Rh1 0.254 0.254 0.254 1
Rh2 0.746 0.746 0.746 1
Pb1 0.500 0.500 0.500 1
```

(3)
Material: Ho3HPbSe
Method: DFT, PBE
State: relaxed

```
data_Ho3HPbSe
_space_group_name_H-M_alt 'P 1'
_space_group_IT_number 1
_cell_length_a 8.188
_cell_length_b 4.177
_cell_length_c 8.529
_cell_angle_alpha 90.00
_cell_angle_beta 98.75
_cell_angle_gamma 90.00
loop_
_space_group_symop_operation_xyz
'x,y,z'
loop_
_atom_site_label
_atom_site_fract_x
_atom_site_fract_y
_atom_site_fract_z
_atom_site_occupancy
Ho1 0.083 0.250 0.319 1
Ho2 0.330 0.250 0.967 1
Ho3 0.387 0.750 0.628 1
Ho4 0.613 0.250 0.372 1
Ho5 0.670 0.750 0.033 1
Ho6 0.917 0.750 0.681 1
H1 0.409 0.750 0.899 1
H2 0.591 0.250 0.101 1
Pb1 0.341 0.750 0.249 1
Pb2 0.659 0.250 0.751 1
Se1 0.150 0.250 0.654 1
Se2 0.850 0.750 0.346 1
```

(4)
Material: Ho6HPd2
Method: DFT, PBE
State: relaxed

```
data_Ho6HPd2
_space_group_name_H-M_alt 'P 1'
_space_group_IT_number 1
_cell_length_a 6.389
_cell_length_b 6.964
_cell_length_c 11.600
_cell_angle_alpha 90.00
_cell_angle_beta 123.12
_cell_angle_gamma 90.00
loop_
_space_group_symop_operation_xyz
'x,y,z'
loop_
_atom_site_label
_atom_site_fract_x
_atom_site_fract_y
_atom_site_fract_z
_atom_site_occupancy
Ho1 0.112 0.024 0.251 1
Ho2 0.112 0.476 0.751 1
Ho3 0.233 0.678 0.061 1
Ho4 0.233 0.822 0.561 1
Ho5 0.387 0.180 0.059 1
Ho6 0.387 0.320 0.559 1
Ho7 0.613 0.680 0.441 1
Ho8 0.613 0.820 0.941 1
Ho9 0.767 0.178 0.439 1
Ho10 0.767 0.322 0.939 1
Ho11 0.888 0.524 0.249 1
Ho12 0.888 0.976 0.749 1
H1 0.000 0.000 0.000 1
H2 0.000 0.500 0.500 1
Pd1 0.316 0.114 0.750 1
Pd2 0.316 0.386 0.250 1
Pd3 0.684 0.614 0.750 1
Pd4 0.684 0.886 0.250 1
```

(5)
Material: HoH4Pd5
Method: DFT, PBE
State: relaxed

```
data_HoH4Pd5
_space_group_name_H-M_alt 'P 1'
_space_group_IT_number 1
_cell_length_a 5.768
_cell_length_b 8.383
_cell_length_c 4.759
_cell_angle_alpha 90.00
_cell_angle_beta 90.00
_cell_angle_gamma 90.00
loop_
_space_group_symop_operation_xyz
'x,y,z'
loop_
_atom_site_label
_atom_site_fract_x
_atom_site_fract_y
_atom_site_fract_z
_atom_site_occupancy
Ho1 0.250 0.250 0.225 1
Ho2 0.750 0.750 0.775 1
H1 0.058 0.750 0.458 1
H2 0.250 0.531 0.915 1
H3 0.250 0.969 0.915 1
H4 0.442 0.750 0.458 1
H5 0.558 0.250 0.542 1
H6 0.750 0.031 0.085 1
H7 0.750 0.469 0.085 1
H8 0.942 0.250 0.542 1
Pd1 0.002 0.580 0.246 1
Pd2 0.002 0.920 0.246 1
Pd3 0.250 0.750 0.770 1
Pd4 0.498 0.580 0.246 1
Pd5 0.498 0.920 0.246 1
Pd6 0.502 0.080 0.754 1
Pd7 0.502 0.420 0.754 1
Pd8 0.750 0.250 0.230 1
Pd9 0.998 0.080 0.754 1
Pd10 0.998 0.420 0.754 1
```

(6)
# Ho2HPd, relaxed, DFT PBE
# offset from the most stable computed form: 184 meV per atom
data_Ho2HPd
_space_group_name_H-M_alt 'P 1'
_space_group_IT_number 1
_cell_length_a 8.301
_cell_length_b 8.301
_cell_length_c 8.301
_cell_angle_alpha 23.30
_cell_angle_beta 23.30
_cell_angle_gamma 23.30
loop_
_space_group_symop_operation_xyz
'x,y,z'
loop_
_atom_site_label
_atom_site_fract_x
_atom_site_fract_y
_atom_site_fract_z
_atom_site_occupancy
Ho1 0.109 0.109 0.109 1
Ho2 0.891 0.891 0.891 1
H1 0.500 0.500 0.500 1
Pd1 0.000 0.000 0.000 1

(7)
Material: Ho12H5Pd3
Method: DFT, PBE
State: relaxed

```
data_Ho12H5Pd3
_space_group_name_H-M_alt 'P 1'
_space_group_IT_number 1
_cell_length_a 13.051
_cell_length_b 13.051
_cell_length_c 13.051
_cell_angle_alpha 109.47
_cell_angle_beta 109.47
_cell_angle_gamma 109.47
loop_
_space_group_symop_operation_xyz
'x,y,z'
loop_
_atom_site_label
_atom_site_fract_x
_atom_site_fract_y
_atom_site_fract_z
_atom_site_occupancy
Ho1 0.021 0.213 0.116 1
Ho2 0.021 0.309 0.905 1
Ho3 0.095 0.616 0.403 1
Ho4 0.095 0.979 0.691 1
Ho5 0.097 0.713 0.691 1
Ho6 0.097 0.884 0.405 1
Ho7 0.116 0.021 0.213 1
Ho8 0.116 0.595 0.903 1
Ho9 0.191 0.213 0.597 1
Ho10 0.191 0.479 0.595 1
Ho11 0.213 0.116 0.021 1
Ho12 0.213 0.597 0.191 1
Ho13 0.287 0.309 0.903 1
Ho14 0.287 0.479 0.384 1
Ho15 0.309 0.903 0.287 1
Ho16 0.309 0.905 0.021 1
Ho17 0.384 0.287 0.479 1
Ho18 0.384 0.597 0.905 1
Ho19 0.403 0.095 0.616 1
Ho20 0.403 0.809 0.787 1
Ho21 0.405 0.097 0.884 1
Ho22 0.405 0.809 0.521 1
Ho23 0.479 0.384 0.287 1
Ho24 0.479 0.595 0.191 1
Ho25 0.521 0.405 0.809 1
Ho26 0.521 0.616 0.713 1
Ho27 0.595 0.191 0.479 1
Ho28 0.595 0.903 0.116 1
Ho29 0.597 0.191 0.213 1
Ho30 0.597 0.905 0.384 1
Ho31 0.616 0.403 0.095 1
Ho32 0.616 0.713 0.521 1
Ho33 0.691 0.095 0.979 1
Ho34 0.691 0.097 0.713 1
Ho35 0.713 0.521 0.616 1
Ho36 0.713 0.691 0.097 1
Ho37 0.787 0.403 0.809 1
Ho38 0.787 0.884 0.979 1
Ho39 0.809 0.521 0.405 1
Ho40 0.809 0.787 0.403 1
Ho41 0.884 0.405 0.097 1
Ho42 0.884 0.979 0.787 1
Ho43 0.903 0.116 0.595 1
Ho44 0.903 0.287 0.309 1
Ho45 0.905 0.021 0.309 1
Ho46 0.905 0.384 0.597 1
Ho47 0.979 0.691 0.095 1
Ho48 0.979 0.787 0.884 1
H1 0.000 0.000 0.000 1
H2 0.000 0.000 0.500 1
H3 0.000 0.500 0.000 1
H4 0.000 0.500 0.500 1
H5 0.125 0.750 0.875 1
H6 0.125 0.875 0.250 1
H7 0.250 0.125 0.875 1
H8 0.250 0.625 0.375 1
H9 0.375 0.250 0.625 1
H10 0.375 0.625 0.750 1
H11 0.500 0.000 0.000 1
H12 0.500 0.000 0.500 1
H13 0.500 0.500 0.000 1
H14 0.500 0.500 0.500 1
H15 0.625 0.375 0.250 1
H16 0.625 0.750 0.375 1
H17 0.750 0.375 0.625 1
H18 0.750 0.875 0.125 1
H19 0.875 0.125 0.750 1
H20 0.875 0.250 0.125 1
Pd1 0.125 0.250 0.375 1
Pd2 0.125 0.375 0.750 1
Pd3 0.250 0.375 0.125 1
Pd4 0.250 0.875 0.625 1
Pd5 0.375 0.125 0.250 1
Pd6 0.375 0.750 0.125 1
Pd7 0.625 0.250 0.875 1
Pd8 0.625 0.875 0.750 1
Pd9 0.750 0.125 0.375 1
Pd10 0.750 0.625 0.875 1
Pd11 0.875 0.625 0.250 1
Pd12 0.875 0.750 0.625 1
```

(8)
Material: HoHPd
Method: DFT, PBE
State: relaxed

```
data_HoHPd
_space_group_name_H-M_alt 'P 1'
_space_group_IT_number 1
_cell_length_a 7.228
_cell_length_b 7.228
_cell_length_c 5.379
_cell_angle_alpha 90.00
_cell_angle_beta 90.00
_cell_angle_gamma 43.79
loop_
_space_group_symop_operation_xyz
'x,y,z'
loop_
_atom_site_label
_atom_site_fract_x
_atom_site_fract_y
_atom_site_fract_z
_atom_site_occupancy
Ho1 0.154 0.154 0.000 1
Ho2 0.346 0.346 0.500 1
Ho3 0.654 0.654 0.500 1
Ho4 0.846 0.846 0.000 1
H1 0.004 0.496 0.250 1
H2 0.496 0.004 0.750 1
H3 0.504 0.996 0.250 1
H4 0.996 0.504 0.750 1
Pd1 0.173 0.827 0.327 1
Pd2 0.327 0.673 0.827 1
Pd3 0.673 0.327 0.173 1
Pd4 0.827 0.173 0.673 1
```

(9)
Material: Ho2HPd9
Method: DFT, PBE
State: relaxed

```
data_Ho2HPd9
_space_group_name_H-M_alt 'P 1'
_space_group_IT_number 1
_cell_length_a 4.128
_cell_length_b 4.128
_cell_length_c 11.370
_cell_angle_alpha 90.00
_cell_angle_beta 90.00
_cell_angle_gamma 90.00
loop_
_space_group_symop_operation_xyz
'x,y,z'
loop_
_atom_site_label
_atom_site_fract_x
_atom_site_fract_y
_atom_site_fract_z
_atom_site_occupancy
Ho1 0.000 0.000 0.183 1
Ho2 0.000 0.000 0.817 1
H1 0.000 0.000 0.500 1
Pd1 0.000 0.500 0.000 1
Pd2 0.000 0.500 0.358 1
Pd3 0.000 0.500 0.642 1
Pd4 0.500 0.000 0.000 1
Pd5 0.500 0.000 0.358 1
Pd6 0.500 0.000 0.642 1
Pd7 0.500 0.500 0.177 1
Pd8 0.500 0.500 0.500 1
Pd9 0.500 0.500 0.823 1
```

(10)
Material: HoH6Pd7
Method: DFT, PBE
State: relaxed

```
data_HoH6Pd7
_space_group_name_H-M_alt 'P 1'
_space_group_IT_number 1
_cell_length_a 7.761
_cell_length_b 7.761
_cell_length_c 7.761
_cell_angle_alpha 38.17
_cell_angle_beta 38.17
_cell_angle_gamma 38.17
loop_
_space_group_symop_operation_xyz
'x,y,z'
loop_
_atom_site_label
_atom_site_fract_x
_atom_site_fract_y
_atom_site_fract_z
_atom_site_occupancy
Ho1 0.000 0.000 0.000 1
H1 0.086 0.730 0.418 1
H2 0.260 0.580 0.923 1
H3 0.418 0.086 0.730 1
H4 0.580 0.923 0.260 1
H5 0.730 0.418 0.086 1
H6 0.923 0.260 0.580 1
Pd1 0.109 0.444 0.779 1
Pd2 0.222 0.889 0.554 1
Pd3 0.444 0.779 0.109 1
Pd4 0.554 0.222 0.889 1
Pd5 0.666 0.666 0.666 1
Pd6 0.779 0.109 0.444 1
Pd7 0.889 0.554 0.222 1
```

(11)
Material: HoHPd6
Method: DFT, PBE
State: relaxed

```
data_HoHPd6
_space_group_name_H-M_alt 'P 1'
_space_group_IT_number 1
_cell_length_a 5.832
_cell_length_b 5.832
_cell_length_c 5.832
_cell_angle_alpha 56.20
_cell_angle_beta 56.20
_cell_angle_gamma 56.20
loop_
_space_group_symop_operation_xyz
'x,y,z'
loop_
_atom_site_label
_atom_site_fract_x
_atom_site_fract_y
_atom_site_fract_z
_atom_site_occupancy
Ho1 0.000 0.000 0.000 1
H1 0.500 0.500 0.500 1
Pd1 0.082 0.594 0.594 1
Pd2 0.406 0.406 0.918 1
Pd3 0.406 0.918 0.406 1
Pd4 0.594 0.082 0.594 1
Pd5 0.594 0.594 0.082 1
Pd6 0.918 0.406 0.406 1
```

(12)
Material: HoH8Pd6
Method: DFT, PBE
State: relaxed

```
data_HoH8Pd6
_space_group_name_H-M_alt 'P 1'
_space_group_IT_number 1
_cell_length_a 5.296
_cell_length_b 5.296
_cell_length_c 5.296
_cell_angle_alpha 99.11
_cell_angle_beta 99.11
_cell_angle_gamma 99.11
loop_
_space_group_symop_operation_xyz
'x,y,z'
loop_
_atom_site_label
_atom_site_fract_x
_atom_site_fract_y
_atom_site_fract_z
_atom_site_occupancy
Ho1 0.000 0.000 0.000 1
H1 0.186 0.625 0.796 1
H2 0.204 0.814 0.375 1
H3 0.310 0.310 0.310 1
H4 0.375 0.204 0.814 1
H5 0.625 0.796 0.186 1
H6 0.690 0.690 0.690 1
H7 0.796 0.186 0.625 1
H8 0.814 0.375 0.204 1
Pd1 0.126 0.291 0.579 1
Pd2 0.291 0.579 0.126 1
Pd3 0.421 0.874 0.709 1
Pd4 0.579 0.126 0.291 1
Pd5 0.709 0.421 0.874 1
Pd6 0.874 0.709 0.421 1
```

(13)
Material: Ho2H4Pd
Method: DFT, PBE
State: relaxed

```
data_Ho2H4Pd
_space_group_name_H-M_alt 'P 1'
_space_group_IT_number 1
_cell_length_a 6.955
_cell_length_b 6.955
_cell_length_c 6.955
_cell_angle_alpha 150.63
_cell_angle_beta 150.63
_cell_angle_gamma 42.02
loop_
_space_group_symop_operation_xyz
'x,y,z'
loop_
_atom_site_label
_atom_site_fract_x
_atom_site_fract_y
_atom_site_fract_z
_atom_site_occupancy
Ho1 0.156 0.156 0.000 1
Ho2 0.844 0.844 0.000 1
H1 0.000 0.500 0.500 1
H2 0.328 0.328 0.000 1
H3 0.500 0.000 0.500 1
H4 0.672 0.672 0.000 1
Pd1 0.500 0.500 0.000 1
```

(14)
Material: Ho2HPd4
Method: DFT, PBE
State: relaxed

```
data_Ho2HPd4
_space_group_name_H-M_alt 'P 1'
_space_group_IT_number 1
_cell_length_a 7.825
_cell_length_b 7.825
_cell_length_c 7.825
_cell_angle_alpha 149.86
_cell_angle_beta 149.86
_cell_angle_gamma 43.15
loop_
_space_group_symop_operation_xyz
'x,y,z'
loop_
_atom_site_label
_atom_site_fract_x
_atom_site_fract_y
_atom_site_fract_z
_atom_site_occupancy
Ho1 0.162 0.162 0.000 1
Ho2 0.838 0.838 0.000 1
H1 0.500 0.500 0.000 1
Pd1 0.000 0.500 0.500 1
Pd2 0.362 0.362 0.000 1
Pd3 0.500 0.000 0.500 1
Pd4 0.638 0.638 0.000 1
```

(15)
Material: HoH4Pd4
Method: DFT, PBE
State: relaxed

```
data_HoH4Pd4
_space_group_name_H-M_alt 'P 1'
_space_group_IT_number 1
_cell_length_a 5.282
_cell_length_b 5.282
_cell_length_c 5.282
_cell_angle_alpha 98.36
_cell_angle_beta 98.36
_cell_angle_gamma 135.18
loop_
_space_group_symop_operation_xyz
'x,y,z'
loop_
_atom_site_label
_atom_site_fract_x
_atom_site_fract_y
_atom_site_fract_z
_atom_site_occupancy
Ho1 0.000 0.000 0.000 1
H1 0.157 0.667 0.824 1
H2 0.333 0.157 0.491 1
H3 0.667 0.843 0.509 1
H4 0.843 0.333 0.176 1
Pd1 0.200 0.393 0.592 1
Pd2 0.393 0.800 0.193 1
Pd3 0.607 0.200 0.807 1
Pd4 0.800 0.607 0.408 1
```

(16)
# Ho2HPd, relaxed, DFT PBE
# offset from the most stable computed form: 0 meV per atom
data_Ho2HPd
_space_group_name_H-M_alt 'P 1'
_space_group_IT_number 1
_cell_length_a 3.294
_cell_length_b 3.294
_cell_length_c 6.996
_cell_angle_alpha 90.00
_cell_angle_beta 90.00
_cell_angle_gamma 90.00
loop_
_space_group_symop_operation_xyz
'x,y,z'
loop_
_atom_site_label
_atom_site_fract_x
_atom_site_fract_y
_atom_site_fract_z
_atom_site_occupancy
Ho1 0.000 0.000 0.239 1
Ho2 0.000 0.000 0.761 1
H1 0.500 0.500 0.000 1
Pd1 0.500 0.500 0.500 1

(17)
Material: HoH2Pd
Method: DFT, PBE
State: relaxed

```
data_HoH2Pd
_space_group_name_H-M_alt 'P 1'
_space_group_IT_number 1
_cell_length_a 4.607
_cell_length_b 4.607
_cell_length_c 4.607
_cell_angle_alpha 50.31
_cell_angle_beta 50.31
_cell_angle_gamma 50.31
loop_
_space_group_symop_operation_xyz
'x,y,z'
loop_
_atom_site_label
_atom_site_fract_x
_atom_site_fract_y
_atom_site_fract_z
_atom_site_occupancy
Ho1 0.000 0.000 0.000 1
H1 0.359 0.359 0.359 1
H2 0.641 0.641 0.641 1
Pd1 0.500 0.500 0.500 1
```

(18)
Material: HoHPd2Pt
Method: DFT, PBE
State: relaxed

```
data_HoHPd2Pt
_space_group_name_H-M_alt 'P 1'
_space_group_IT_number 1
_cell_length_a 4.165
_cell_length_b 4.165
_cell_length_c 4.135
_cell_angle_alpha 90.00
_cell_angle_beta 90.00
_cell_angle_gamma 90.00
loop_
_space_group_symop_operation_xyz
'x,y,z'
loop_
_atom_site_label
_atom_site_fract_x
_atom_site_fract_y
_atom_site_fract_z
_atom_site_occupancy
Ho1 0.000 0.000 0.000 1
H1 0.500 0.500 0.500 1
Pd1 0.000 0.500 0.500 1
Pd2 0.500 0.000 0.500 1
Pt1 0.500 0.500 0.000 1
```

(19)
Material: HoH4Pd2Pt
Method: DFT, PBE
State: relaxed

```
data_HoH4Pd2Pt
_space_group_name_H-M_alt 'P 1'
_space_group_IT_number 1
_cell_length_a 4.765
_cell_length_b 4.765
_cell_length_c 5.142
_cell_angle_alpha 121.47
_cell_angle_beta 121.47
_cell_angle_gamma 82.66
loop_
_space_group_symop_operation_xyz
'x,y,z'
loop_
_atom_site_label
_atom_site_fract_x
_atom_site_fract_y
_atom_site_fract_z
_atom_site_occupancy
Ho1 0.000 0.000 0.000 1
H1 0.102 0.511 0.022 1
H2 0.489 0.097 0.600 1
H3 0.489 0.898 0.978 1
H4 0.903 0.511 0.400 1
Pd1 0.499 0.501 0.000 1
Pd2 0.750 0.250 0.500 1
Pt1 0.251 0.749 0.500 1
```

| no. | E_tot (eV per formula unit) |
| --- | --- |
| 1 | -26.6 |
| 2 | -50.0 |
| 3 | -29.6 |
| 4 | -45.8 |
| 5 | -47.7 |
| 6 | -18.1 |
| 7 | -95.6 |
| 8 | -15.1 |
| 9 | -64.3 |
| 10 | -64.8 |
| 11 | -41.4 |
| 12 | -66.4 |
| 13 | -30.8 |
| 14 | -38.2 |
| 15 | -42.8 |
| 16 | -18.9 |
| 17 | -18.6 |
| 18 | -28.2 |
| 19 | -38.1 |